First-principles (PBE-GGA) data for crystalline AgTeBr at its relaxed geometry, as listed in Alexandria.

a = 4.287 Å, b = 4.287 Å, c = 12.246 Å
α = 99.78°, β = 99.78°, γ = 91.43°
Positions (direct):
Ag1 0.250 0.750 0.000
Ag2 0.750 0.250 0.000
Te1 0.250 0.750 0.500
Te2 0.750 0.250 0.500
Br1 0.175 0.175 0.850
Br2 0.825 0.825 0.150

Properties
Total moment (μB/cell): 0.0
Calculated total energy (Ry per atom): -0.1982
SG: C2/m, No. 12
Volume (A^3/atom): 36.38
Formation energy without anion corrections (eV per atom): -0.141